Entry from the Alexandria database: a geometry-optimized Co2AgF structure (GGA+U).

Cell: 4.3604 4.3604 4.3604 Å, 60.00 60.00 60.00°
Last column: magnetic moment on the atom in μB.
Fractional coordinates of all 4 atoms:
Co1 0.2500 0.2500 0.2500  2.38
Co2 0.7500 0.7500 0.7500  2.38
Ag1 0.5000 0.5000 0.5000  0.01
F1 0.0000 0.0000 0.0000  0.05

Computed properties:
space-group type	No. 225
crystal system	cubic
ΔE to the lowest computed polymorph	49.9	meV/atom
size of the total moment	4.771	μB per formula unit